#i
# NaCrGeRh, relaxed, DFT PBE
data_NaCrGeRh
_space_group_name_H-M_alt 'R 3 m'
_space_group_IT_number 160
_space_group_name_Hall 'R 3 -2"'
_cell_length_a 4.2826
_cell_length_b 4.2826
_cell_length_c 15.5687
_cell_angle_alpha 90.00
_cell_angle_beta 90.00
_cell_angle_gamma 120.00
loop_
_atom_site_label
_atom_site_fract_x
_atom_site_fract_y
_atom_site_fract_z
Na1 0.0000 0.0000 0.0000
Cr1 0.0000 0.0000 0.8015
Ge1 0.0000 0.0000 0.5293
Rh1 0.0000 0.0000 0.1971
# magnetic moment: 1.001 μB/atom
# N(E_F): 0.72 states/eV per atom

---

#ii
# NaCrGeRh, relaxed, DFT PBE
data_NaCrGeRh
_space_group_name_H-M_alt 'F -4 3 m'
_space_group_IT_number 216
_space_group_name_Hall 'F -4 2 3'
_cell_length_a 6.237
_cell_length_b 6.237
_cell_length_c 6.237
_cell_angle_alpha 90.00
_cell_angle_beta 90.00
_cell_angle_gamma 90.00
loop_
_atom_site_label
_atom_site_fract_x
_atom_site_fract_y
_atom_site_fract_z
Na1 0.000 0.000 0.000
Cr1 0.250 0.250 0.750
Ge1 0.000 0.000 0.500
Rh1 0.250 0.250 0.250
# magnetic moment: 0.839 μB/atom
# N(E_F): 0.40 states/eV per atom

---

#iii
# NaCrGeRh, relaxed, DFT PBE
data_NaCrGeRh
_space_group_name_H-M_alt 'C 1 m 1'
_space_group_IT_number 8
_cell_length_a 7.510
_cell_length_b 4.348
_cell_length_c 5.962
_cell_angle_alpha 90.00
_cell_angle_beta 114.74
_cell_angle_gamma 90.00
loop_
_space_group_symop_operation_xyz
'x,y,z'
'x,-y,z'
'x+1/2,y+1/2,z'
'x+1/2,-y+1/2,z'
loop_
_atom_site_label
_atom_site_fract_x
_atom_site_fract_y
_atom_site_fract_z
Na1 0.000 0.000 0.000
Cr1 0.005 0.500 0.519
Ge1 0.322 0.500 0.464
Rh1 0.178 0.000 0.530
# magnetic moment: 0.526 μB/atom
# N(E_F): 0.96 states/eV per atom

---

#iv
# NaCrGeRh, relaxed, DFT PBE
data_NaCrGeRh
_space_group_name_H-M_alt 'A m m 2'
_space_group_IT_number 38
_cell_length_a 4.342
_cell_length_b 2.876
_cell_length_c 10.740
_cell_angle_alpha 90.00
_cell_angle_beta 90.00
_cell_angle_gamma 90.00
loop_
_space_group_symop_operation_xyz
'x,y,z'
'-x,-y,z'
'-x,y,z'
'x,-y,z'
'x,y+1/2,z+1/2'
'-x,-y+1/2,z+1/2'
'-x,y+1/2,z+1/2'
'x,-y+1/2,z+1/2'
loop_
_atom_site_label
_atom_site_fract_x
_atom_site_fract_y
_atom_site_fract_z
Na1 0.000 0.000 0.000
Cr1 0.500 0.000 0.680
Ge1 0.500 0.000 0.381
Rh1 0.000 0.000 0.252
# magnetic moment: 0.705 μB/atom
# N(E_F): 0.78 states/eV per atom

---

Of them, #iv has the lowest stability.

---

#i
# NaCrGeRh, relaxed, DFT PBE
data_NaCrGeRh
_space_group_name_H-M_alt 'C 1 m 1'
_space_group_IT_number 8
_cell_length_a 10.265
_cell_length_b 2.884
_cell_length_c 4.742
_cell_angle_alpha 90.00
_cell_angle_beta 110.62
_cell_angle_gamma 90.00
loop_
_space_group_symop_operation_xyz
'x,y,z'
'x,-y,z'
'x+1/2,y+1/2,z'
'x+1/2,-y+1/2,z'
loop_
_atom_site_label
_atom_site_fract_x
_atom_site_fract_y
_atom_site_fract_z
Na1 0.000 0.000 0.000
Cr1 0.292 0.500 0.361
Ge1 0.229 0.000 0.797
Rh1 0.024 0.500 0.508
# magnetic moment: 0.767 μB/atom
# N(E_F): 0.53 states/eV per atom

---

#ii
# NaCrGeRh, relaxed, DFT PBE
data_NaCrGeRh
_space_group_name_H-M_alt 'P 4 m m'
_space_group_IT_number 99
_cell_length_a 2.825
_cell_length_b 2.825
_cell_length_c 8.168
_cell_angle_alpha 90.00
_cell_angle_beta 90.00
_cell_angle_gamma 90.00
loop_
_space_group_symop_operation_xyz
'x,y,z'
'-y,x,z'
'-x,-y,z'
'y,-x,z'
'-x,y,z'
'y,x,z'
'x,-y,z'
'-y,-x,z'
loop_
_atom_site_label
_atom_site_fract_x
_atom_site_fract_y
_atom_site_fract_z
Na1 0.000 0.000 0.000
Cr1 0.000 0.000 0.526
Ge1 0.500 0.500 0.303
Rh1 0.500 0.500 0.704
# magnetic moment: 0.055 μB/atom
# N(E_F): 0.88 states/eV per atom

---

#iii
# NaCrGeRh, relaxed, DFT PBE
data_NaCrGeRh
_space_group_name_H-M_alt 'P 3 m 1'
_space_group_IT_number 156
_cell_length_a 2.8348
_cell_length_b 2.8348
_cell_length_c 9.1371
_cell_angle_alpha 90.00
_cell_angle_beta 90.00
_cell_angle_gamma 120.00
loop_
_space_group_symop_operation_xyz
'x,y,z'
'-y,x-y,z'
'-x+y,-x,z'
'-y,-x,z'
'-x+y,y,z'
'x,x-y,z'
loop_
_atom_site_label
_atom_site_fract_x
_atom_site_fract_y
_atom_site_fract_z
Na1 0.0000 0.0000 0.0000
Cr1 0.6667 0.3333 0.4918
Ge1 0.3333 0.6667 0.7129
Rh1 0.3333 0.6667 0.2815
# magnetic moment: 0.330 μB/atom
# N(E_F): 0.62 states/eV per atom

---

#iv
# NaCrGeRh, relaxed, DFT PBE
data_NaCrGeRh
_space_group_name_H-M_alt 'I -4 m 2'
_space_group_IT_number 119
_space_group_name_Hall 'I -4 -2'
_cell_length_a 4.306
_cell_length_b 4.306
_cell_length_c 6.636
_cell_angle_alpha 90.00
_cell_angle_beta 90.00
_cell_angle_gamma 90.00
loop_
_atom_site_label
_atom_site_fract_x
_atom_site_fract_y
_atom_site_fract_z
Na1 0.000 0.000 0.000
Cr1 0.000 0.000 0.500
Ge1 0.000 0.500 0.250
Rh1 0.000 0.500 0.750
# magnetic moment: 0.687 μB/atom
# N(E_F): 0.83 states/eV per atom

---

Of them, #iv has the lowest stability.

---

#i
# Nb3CrGe, relaxed, DFT PBE
data_Nb3CrGe
_space_group_name_H-M_alt 'P m -3 m'
_space_group_IT_number 221
_space_group_name_Hall '-P 4 2 3'
_cell_length_a 4.764
_cell_length_b 4.764
_cell_length_c 4.764
_cell_angle_alpha 90.00
_cell_angle_beta 90.00
_cell_angle_gamma 90.00
loop_
_atom_site_label
_atom_site_fract_x
_atom_site_fract_y
_atom_site_fract_z
Nb1 0.000 0.000 0.500
Cr1 0.500 0.500 0.500
Ge1 0.000 0.000 0.000
# magnetic moment: 0.650 μB/atom
# N(E_F): 1.45 states/eV per atom

---

#ii
# Nb3CrGe, relaxed, DFT PBE
data_Nb3CrGe
_space_group_name_H-M_alt 'P m -3 m'
_space_group_IT_number 221
_space_group_name_Hall '-P 4 2 3'
_cell_length_a 4.598
_cell_length_b 4.598
_cell_length_c 4.598
_cell_angle_alpha 90.00
_cell_angle_beta 90.00
_cell_angle_gamma 90.00
loop_
_atom_site_label
_atom_site_fract_x
_atom_site_fract_y
_atom_site_fract_z
Nb1 0.000 0.000 0.500
Cr1 0.000 0.000 0.000
Ge1 0.500 0.500 0.500
# magnetic moment: 0.000 μB/atom
# N(E_F): 0.63 states/eV per atom

---

Of them, #i has the lowest stability.

---

#i
# NpCrGe2, relaxed, DFT PBE
data_NpCrGe2
_space_group_name_H-M_alt 'R -3 m'
_space_group_IT_number 166
_space_group_name_Hall '-R 3 2"'
_cell_length_a 4.7471
_cell_length_b 4.7471
_cell_length_c 19.6741
_cell_angle_alpha 90.00
_cell_angle_beta 90.00
_cell_angle_gamma 120.00
loop_
_atom_site_label
_atom_site_fract_x
_atom_site_fract_y
_atom_site_fract_z
Np1 0.0000 0.0000 0.0000
Cr1 0.0000 0.0000 0.5000
Ge1 0.0000 0.0000 0.3721
# magnetic moment: 2.182 μB/atom
# N(E_F): 2.21 states/eV per atom

---

#ii
# NpCrGe2, relaxed, DFT PBE
data_NpCrGe2
_space_group_name_H-M_alt 'P 4/m m m'
_space_group_IT_number 123
_space_group_name_Hall '-P 4 2'
_cell_length_a 3.044
_cell_length_b 3.044
_cell_length_c 7.484
_cell_angle_alpha 90.00
_cell_angle_beta 90.00
_cell_angle_gamma 90.00
loop_
_atom_site_label
_atom_site_fract_x
_atom_site_fract_y
_atom_site_fract_z
Np1 0.000 0.000 0.000
Cr1 0.000 0.000 0.500
Ge1 0.500 0.500 0.290
# magnetic moment: 1.645 μB/atom
# N(E_F): 1.70 states/eV per atom

---

Of them, #i has the lowest stability.

---

#i
# Cr2Ge2Os, relaxed, DFT PBE
data_Cr2Ge2Os
_space_group_name_H-M_alt 'P 4/m b m'
_space_group_IT_number 127
_space_group_name_Hall '-P 4 2ab'
_cell_length_a 6.732
_cell_length_b 6.732
_cell_length_c 3.049
_cell_angle_alpha 90.00
_cell_angle_beta 90.00
_cell_angle_gamma 90.00
loop_
_atom_site_label
_atom_site_fract_x
_atom_site_fract_y
_atom_site_fract_z
Cr1 0.114 0.386 0.000
Ge1 0.184 0.684 0.500
Os1 0.000 0.000 0.000
# magnetic moment: 0.000 μB/atom
# N(E_F): 1.11 states/eV per atom

---

#ii
# Cr2Ge2Os, relaxed, DFT PBE
data_Cr2Ge2Os
_space_group_name_H-M_alt 'P 4/m b m'
_space_group_IT_number 127
_space_group_name_Hall '-P 4 2ab'
_cell_length_a 6.420
_cell_length_b 6.420
_cell_length_c 3.562
_cell_angle_alpha 90.00
_cell_angle_beta 90.00
_cell_angle_gamma 90.00
loop_
_atom_site_label
_atom_site_fract_x
_atom_site_fract_y
_atom_site_fract_z
Cr1 0.166 0.334 0.000
Ge1 0.138 0.638 0.500
Os1 0.000 0.000 0.500
# magnetic moment: 1.171 μB/atom
# N(E_F): 0.65 states/eV per atom

---

Of them, #i has the lowest stability.